# 1
CuTc2Bi | PBE-GGA | relaxed

abc: 4.5441 4.5441 4.5441
angles: 60.00 60.00 60.00
Site moments in Bohr magnetons follow the coordinates.
Fractional coordinates of all 4 atoms:
1 Bi 0.0000 0.0000 0.0000  0.00
2 Cu 0.2500 0.2500 0.2500  0.00
3 Tc 0.5000 0.5000 0.5000  0.07
4 Tc 0.7500 0.7500 0.7500  -0.01

Values from the calculation:
For the magnetic moment, the calculation gives 0.1 μB per formula unit. The crystal system is cubic. Its space group is No. 216. As for the calculated total energy: -0.4786 Ry per atom.



# 2
ZnCuTcBi | PBE-GGA | relaxed

abc: 4.6373 4.6373 4.6373
angles: 60.00 60.00 60.00
Site moments in Bohr magnetons follow the coordinates.
Fractional coordinates of all 4 atoms:
1 Bi 0.0000 0.0000 0.0000  -0.02
2 Cu 0.2500 0.2500 0.2500  0.02
3 Tc 0.5000 0.5000 0.5000  1.34
4 Zn 0.7500 0.7500 0.7500  -0.01

Values from the calculation:
For the magnetic moment, the calculation gives 1.5 μB per formula unit. The crystal system is cubic. Its space group is No. 216. The value obtained for the distance to the lowest polymorph of the same formula is 171 meV per atom.



# 3
ZnCuTcBi | PBE-GGA | relaxed

abc: 4.5849 4.5849 4.5849
angles: 60.00 60.00 60.00
Fractional coordinates of all 4 atoms:
1 Bi 0.0000 0.0000 0.0000
2 Cu 0.2500 0.2500 0.2500
3 Tc 0.7500 0.7500 0.7500
4 Zn 0.5000 0.5000 0.5000

Values from the calculation:
For the magnetic moment, the calculation gives 0.0 μB per formula unit. The crystal system is cubic. Its space group is No. 216. The value obtained for the distance to the lowest polymorph of the same formula is 0 meV per atom.



# 4
ZrCuTcBi | PBE-GGA | relaxed

abc: 4.6838 4.6838 4.6838
angles: 60.00 60.00 60.00
Fractional coordinates of all 4 atoms:
1 Bi 0.0000 0.0000 0.0000
2 Cu 0.5000 0.5000 0.5000
3 Tc 0.7500 0.7500 0.7500
4 Zr 0.2500 0.2500 0.2500

Values from the calculation:
For the magnetic moment, the calculation gives 0.0 μB per formula unit. The crystal system is cubic. Its space group is No. 216. The value obtained for the distance to the lowest polymorph of the same formula is 58 meV per atom.



# 5
ZrCuTcBi | PBE-GGA | relaxed

abc: 4.7040 4.7040 4.7040
angles: 60.00 60.00 60.00
Fractional coordinates of all 4 atoms:
1 Bi 0.0000 0.0000 0.0000
2 Cu 0.2500 0.2500 0.2500
3 Tc 0.7500 0.7500 0.7500
4 Zr 0.5000 0.5000 0.5000

Values from the calculation:
For the magnetic moment, the calculation gives 0.1 μB per formula unit. The crystal system is cubic. Its space group is No. 216. The value obtained for the distance to the lowest polymorph of the same formula is 0 meV per atom.



# 6
ZrCuTcBi | PBE-GGA | relaxed

abc: 4.7616 4.7616 4.7616
angles: 60.00 60.00 60.00
Fractional coordinates of all 4 atoms:
1 Bi 0.0000 0.0000 0.0000
2 Cu 0.7500 0.7500 0.7500
3 Tc 0.5000 0.5000 0.5000
4 Zr 0.2500 0.2500 0.2500

Values from the calculation:
For the magnetic moment, the calculation gives 0.9 μB per formula unit. The crystal system is cubic. Its space group is No. 216. The value obtained for the distance to the lowest polymorph of the same formula is 234 meV per atom.



Question: Look up the magnetic moment of the first one.
Answer: 0.1 μB per formula unit



Question: Which value of magnetic moment does entry 6 give?
Answer: 0.9 μB per formula unit



Question: Which value of magnetic moment does entry 3 give?
Answer: 0.0 μB per formula unit